# 1
{
  "formula": "Cd2Ag3",
  "functional": "PBEsol",
  "state": "optimized geometry",
  "cell": [[5.399, 0.000, 0.000], [2.700, 5.000, 0.000], [-2.700, 0.000, 7.085]],
  "species": ["Ag", "Ag", "Ag", "Ag", "Ag", "Ag", "Cd", "Cd", "Cd", "Cd"],
  "fractional_positions": [[0.461, 0.089, 0.199], [0.351, 0.911, 0.801], [0.512, 0.589, 0.301], [0.800, 0.411, 0.699], [0.945, 0.000, 0.000], [0.195, 0.500, 0.500], [0.890, 0.563, 0.100], [0.354, 0.437, 0.900], [0.040, 0.063, 0.400], [0.704, 0.937, 0.600]],
  "formation_energy_mev_per_atom": -39,
  "energy_ev_per_atom": -2.505,
  "polymorph_energy_kj_per_mol_atoms": 2.7
}

=====

# 2
{
  "formula": "Cd5Ag",
  "functional": "PBEsol",
  "state": "optimized geometry",
  "cell": [[3.049, 0.000, 0.000], [0.000, 3.049, 0.000], [0.000, 0.000, 12.785]],
  "species": ["Ag", "Cd", "Cd", "Cd", "Cd", "Cd"],
  "fractional_positions": [[0.500, 0.500, 0.500], [0.000, 0.000, 0.654], [0.500, 0.500, 0.827], [0.000, 0.000, 0.000], [0.500, 0.500, 0.173], [0.000, 0.000, 0.346]],
  "formation_energy_mev_per_atom": -5,
  "energy_ev_per_atom": -1.554
}